YTlCrF6 | PBE with a Hubbard U | optimized geometry

Properties
The calculation puts the uncorrected energy at -108.47 eV/cell.

Cell: 5.919 5.919 11.563 Å, 90.00 90.00 120.00°
Site moments in Bohr magnetons follow the coordinates.
Element x y z (fractional)
F 0.617 0.625 0.151  0.00
F 0.383 0.375 0.849  0.00
F 0.375 0.992 0.151  0.00
F 0.008 0.625 0.349  0.00
F 0.992 0.375 0.651  0.00
F 0.992 0.617 0.849  0.00
F 0.008 0.383 0.151  0.00
F 0.625 0.617 0.651  0.00
F 0.625 0.008 0.849  0.00
F 0.375 0.383 0.349  0.00
F 0.617 0.992 0.349  0.00
F 0.383 0.008 0.651  0.00
Cr 0.667 0.333 0.750  3.83
Cr 0.333 0.667 0.250  3.83
Y 0.333 0.667 0.750  0.01
Y 0.667 0.333 0.250  0.01
Tl 0.000 0.000 0.500  0.00
Tl 0.000 0.000 0.000  0.00